1.
Here is YBiO after structural relaxation from Alexandria. Energies are from PBE.

Properties
For the uncorrected energy, the calculation gives -21.08 eV/cell. For the formation energy from raw total energies, the calculation gives -1.926 eV per atom. The symmetry is No. 38. The offset from the most stable computed form comes out at 0.0000 eV/atom.

a = 3.2083 Å, b = 3.3269 Å, c = 6.6425 Å
α = 90.06°, β = 103.97°, γ = 90.00°
Closest atoms and distances in Å follow each position.
Atoms (fractional coordinates):
1 Y 0.2570 0.1665 0.5141  4 O 2.32
2 O 0.7454 0.6663 0.4909  4 Y 2.32
3 Bi 0.9975 0.1672 0.9951  4 Bi 3.21-3.33, 3 Y 3.35-3.49



2.
Here is LiTbInIr after structural relaxation from Alexandria. Energies are from PBE.

Properties
For the uncorrected energy, the calculation gives -20.19 eV/cell. The symmetry is No. 216.

a = 4.7734 Å, b = 4.7734 Å, c = 4.7734 Å
α = 60.00°, β = 60.00°, γ = 60.00°
Closest atoms and distances in Å follow each position.
Atoms (fractional coordinates):
1 Tb 0.7500 0.7500 0.7500  4 Li 2.92, 4 Ir 2.92
2 Li 0.5000 0.5000 0.5000  4 In 2.92, 4 Tb 2.92
3 In 0.2500 0.2500 0.2500  4 Ir 2.92, 4 Li 2.92
4 Ir 0.0000 0.0000 0.0000  4 Tb 2.92, 4 In 2.92